Entry 1:
A relaxed structure of TlZnCd2, computed with GGA-PBE.

Geometry as CIF:
```
data_TlZnCd2
_symmetry_space_group_name_H-M 'P 1 m 1'
_symmetry_Int_Tables_number 6
_symmetry_space_group_name_Hall 'P -2y'
_cell_length_a 3.4161
_cell_length_b 4.5541
_cell_length_c 6.3045
_cell_angle_alpha 90.00
_cell_angle_beta 103.91
_cell_angle_gamma 90.00
loop_
_atom_site_label
_atom_site_type_symbol
_atom_site_fract_x
_atom_site_fract_y
_atom_site_fract_z
Tl1 Tl 0.0000 0.0000 0.0000
Zn1 Zn 0.5701 0.5000 0.2016
Cd1 Cd 0.3310 0.5000 0.6653
Cd2 Cd 0.7460 0.0000 0.4803
```

Computed properties:
Fermi-level density of states in states/eV per atom: 0.343
E_form in kJ/mol of atoms: 11.17
Energy above the lowest structure with this stoichiometry in meV/atom: 41
E_tot in eV per cell: -5.007

---

Entry 2:
A relaxed structure of TlZn2Cd, computed with GGA-PBE.

Geometry as CIF:
```
data_TlZn2Cd
_symmetry_space_group_name_H-M 'R 3 m'
_symmetry_Int_Tables_number 160
_symmetry_space_group_name_Hall 'R 3 -2"'
_cell_length_a 3.2775
_cell_length_b 3.2775
_cell_length_c 28.1719
_cell_angle_alpha 90.00
_cell_angle_beta 90.00
_cell_angle_gamma 120.00
loop_
_atom_site_label
_atom_site_type_symbol
_atom_site_fract_x
_atom_site_fract_y
_atom_site_fract_z
Tl1 Tl 0.0000 0.0000 0.0000
Zn1 Zn 0.0000 0.0000 0.5776
Zn2 Zn 0.0000 0.0000 0.7553
Cd1 Cd 0.0000 0.0000 0.1667
```

Computed properties:
Fermi-level density of states in states/eV per atom: 0.291
E_form in kJ/mol of atoms: 16.88
Energy above the lowest structure with this stoichiometry in meV/atom: 63
E_tot in eV per cell: -15.388

---

Entry 3:
A relaxed structure of Tl2ZnCd, computed with GGA-PBE.

Geometry as CIF:
```
data_Tl2ZnCd
_symmetry_space_group_name_H-M 'C m m m'
_symmetry_Int_Tables_number 65
_symmetry_space_group_name_Hall '-C 2 2'
_cell_length_a 4.0676
_cell_length_b 5.2601
_cell_length_c 9.7287
_cell_angle_alpha 90.00
_cell_angle_beta 90.00
_cell_angle_gamma 90.00
loop_
_atom_site_label
_atom_site_type_symbol
_atom_site_fract_x
_atom_site_fract_y
_atom_site_fract_z
Tl1 Tl 0.0000 0.0000 0.2320
Zn1 Zn 0.0000 0.5000 0.0000
Cd1 Cd 0.0000 0.5000 0.5000
```

Computed properties:
Fermi-level density of states in states/eV per atom: 0.373
E_form in kJ/mol of atoms: 12.91
Energy above the lowest structure with this stoichiometry in meV/atom: 54
E_tot in eV per cell: -12.773

---

Entry 4:
A relaxed structure of Tl2Zn2Cd, computed with GGA-PBE.

Geometry as CIF:
```
data_Tl2Zn2Cd
_symmetry_space_group_name_H-M 'I 4/m m m'
_symmetry_Int_Tables_number 139
_symmetry_space_group_name_Hall '-I 4 2'
_cell_length_a 4.5306
_cell_length_b 4.5306
_cell_length_c 12.5504
_cell_angle_alpha 90.00
_cell_angle_beta 90.00
_cell_angle_gamma 90.00
loop_
_atom_site_label
_atom_site_type_symbol
_atom_site_fract_x
_atom_site_fract_y
_atom_site_fract_z
Tl1 Tl 0.0000 0.5000 0.2500
Zn1 Zn 0.0000 0.0000 0.0961
Cd1 Cd 0.0000 0.0000 0.5000
```

Computed properties:
Fermi-level density of states in states/eV per atom: 0.441
E_form in kJ/mol of atoms: 22.81
Energy above the lowest structure with this stoichiometry in meV/atom: 127
E_tot in eV per cell: -14.027

---

Entry 5:
A relaxed structure of TlZnCd2, computed with GGA-PBE.

Geometry as CIF:
```
data_TlZnCd2
_symmetry_space_group_name_H-M 'C 1 m 1'
_symmetry_Int_Tables_number 8
_symmetry_space_group_name_Hall 'C -2y'
_cell_length_a 9.3320
_cell_length_b 3.2287
_cell_length_c 6.5125
_cell_angle_alpha 90.00
_cell_angle_beta 101.50
_cell_angle_gamma 90.00
loop_
_atom_site_label
_atom_site_type_symbol
_atom_site_fract_x
_atom_site_fract_y
_atom_site_fract_z
Tl1 Tl 0.0000 0.0000 0.0000
Zn1 Zn 0.2417 0.5000 0.2880
Cd1 Cd 0.2360 0.0000 0.7066
Cd2 Cd 0.4845 0.0000 0.4640
```

Computed properties:
Fermi-level density of states in states/eV per atom: 0.323
E_form in kJ/mol of atoms: 9.93
Energy above the lowest structure with this stoichiometry in meV/atom: 28
E_tot in eV per cell: -10.117

---

Entry 6:
A relaxed structure of Tl2Zn2Cd, computed with GGA-PBE.

Geometry as CIF:
```
data_Tl2Zn2Cd
_symmetry_space_group_name_H-M 'P 4/m b m'
_symmetry_Int_Tables_number 127
_symmetry_space_group_name_Hall '-P 4 2ab'
_cell_length_a 8.6076
_cell_length_b 8.6076
_cell_length_c 3.3795
_cell_angle_alpha 90.00
_cell_angle_beta 90.00
_cell_angle_gamma 90.00
loop_
_atom_site_label
_atom_site_type_symbol
_atom_site_fract_x
_atom_site_fract_y
_atom_site_fract_z
Tl1 Tl 0.1876 0.3124 0.0000
Zn1 Zn 0.1109 0.6109 0.5000
Cd1 Cd 0.0000 0.0000 0.0000
```

Computed properties:
Fermi-level density of states in states/eV per atom: 0.381
E_form in kJ/mol of atoms: 19.29
Energy above the lowest structure with this stoichiometry in meV/atom: 91
E_tot in eV per cell: -14.392

---

What did the first record say?
A relaxed structure of TlZnCd2, computed with GGA-PBE.

Geometry as CIF:
```
data_TlZnCd2
_symmetry_space_group_name_H-M 'P 1 m 1'
_symmetry_Int_Tables_number 6
_symmetry_space_group_name_Hall 'P -2y'
_cell_length_a 3.4161
_cell_length_b 4.5541
_cell_length_c 6.3045
_cell_angle_alpha 90.00
_cell_angle_beta 103.91
_cell_angle_gamma 90.00
loop_
_atom_site_label
_atom_site_type_symbol
_atom_site_fract_x
_atom_site_fract_y
_atom_site_fract_z
Tl1 Tl 0.0000 0.0000 0.0000
Zn1 Zn 0.5701 0.5000 0.2016
Cd1 Cd 0.3310 0.5000 0.6653
Cd2 Cd 0.7460 0.0000 0.4803
```

Computed properties:
Fermi-level density of states in states/eV per atom: 0.343
E_form in kJ/mol of atoms: 11.17
Energy above the lowest structure with this stoichiometry in meV/atom: 41
E_tot in eV per cell: -5.007